Entry 1:
Density functional theory data (GGA-PBE) for a geometry-optimized Rb2SrTcO4 structure.

a b c (Å): 6.037 6.037 6.037
angles (deg): 96.98 116.06 116.06
Last column: magnetic moment on the atom in μB.
Sites, in units of the cell vectors:
Rb 0.500 0.750 0.250  0.00
Rb 0.000 0.000 0.000  0.00
Sr 0.500 0.250 0.750  0.02
Tc 0.000 0.500 0.500  0.76
O 0.609 0.346 0.417  0.03
O 0.071 0.263 0.654  0.03
O 0.929 0.583 0.192  0.03
O 0.391 0.808 0.737  0.03

E: -5.89 eV per atom
Energy relative to the elements, uncorrected: -38.37 kcal/mol of atoms

=====

Entry 2:
Density functional theory data (GGA-PBE) for a geometry-optimized CsPuMg2I8 structure.

a b c (Å): 7.629 7.629 11.284
angles (deg): 90.00 90.00 120.00
Last column: magnetic moment on the atom in μB.
Sites, in units of the cell vectors:
Cs 0.000 0.000 0.000  0.00
Pu 0.000 0.000 0.500  5.14
Mg 0.667 0.333 0.251  0.00
Mg 0.333 0.667 0.749  0.00
I 0.333 0.667 0.985  0.00
I 0.319 0.330 0.332  -0.03
I 0.670 0.989 0.332  -0.03
I 0.667 0.333 0.015  0.00
I 0.330 0.011 0.668  -0.03
I 0.681 0.670 0.668  -0.03
I 0.989 0.319 0.668  -0.03
I 0.011 0.681 0.332  -0.03

E: -3.66 eV per atom
Energy relative to the elements, uncorrected: -25.15 kcal/mol of atoms

=====

Entry 3:
Density functional theory data (GGA-PBE) for a geometry-optimized Ti3BrCl7 structure.

a b c (Å): 6.892 6.879 6.879
angles (deg): 120.00 90.00 90.00
Last column: magnetic moment on the atom in μB.
Sites, in units of the cell vectors:
Ti 0.782 0.480 0.520  0.58
Ti 0.782 0.480 0.960  0.58
Ti 0.782 0.040 0.520  0.58
Br 0.504 0.333 0.667  -0.01
Cl 0.999 0.170 0.830  -0.02
Cl 0.999 0.170 0.341  -0.02
Cl 0.980 0.667 0.333  -0.01
Cl 0.596 0.831 0.169  -0.01
Cl 0.596 0.338 0.169  -0.01
Cl 0.596 0.831 0.662  -0.01
Cl 0.999 0.659 0.830  -0.02

E: -5.02 eV per atom
Energy relative to the elements, uncorrected: -35.47 kcal/mol of atoms

=====

Entry 4:
Density functional theory data (GGA-PBE) for a geometry-optimized La5Tb2PrTh structure.

a b c (Å): 5.547 11.362 10.668
angles (deg): 90.00 90.00 104.13
Sites, in units of the cell vectors:
La 0.373 0.745 0.008
La 0.724 0.447 0.816
La 0.500 0.000 0.758
La 0.276 0.552 0.700
La 0.004 0.007 0.508
La 0.627 0.255 0.508
La 0.276 0.553 0.316
La 0.500 0.000 0.258
La 0.724 0.448 0.200
La 0.996 0.993 0.008
Tb 0.887 0.774 0.750
Tb 0.113 0.226 0.767
Tb 0.113 0.226 0.250
Tb 0.887 0.774 0.267
Pr 0.601 0.202 0.008
Pr 0.399 0.798 0.508
Th 0.785 0.569 0.508
Th 0.215 0.431 0.008

E: -4.99 eV per atom
Formation energy: 0.129 eV per atom

=====

Entry 5:
Density functional theory data (GGA-PBE) for a geometry-optimized Y5ErTm3 structure.

a b c (Å): 6.986 9.666 9.666
angles (deg): 120.00 90.00 90.00
Sites, in units of the cell vectors:
Y 0.000 0.333 0.667
Y 0.500 0.667 0.333
Y 0.000 0.667 0.333
Y 0.500 0.333 0.667
Y 0.750 0.694 0.000
Y 0.750 0.306 0.306
Y 0.750 0.000 0.694
Y 0.250 0.306 0.000
Y 0.250 0.694 0.694
Y 0.250 0.000 0.306
Er 0.000 0.000 0.000
Er 0.500 0.000 0.000
Tm 0.750 0.359 0.000
Tm 0.750 0.641 0.641
Tm 0.750 0.000 0.359
Tm 0.250 0.641 0.000
Tm 0.250 0.359 0.359
Tm 0.250 0.000 0.641

Energy above the lowest structure with this stoichiometry: 0 meV/atom
E: -5.53 eV per atom
Formation energy: 0.056 eV per atom

=====

Entry 6:
Density functional theory data (GGA-PBE) for a geometry-optimized La2BiAu2 structure.

a b c (Å): 4.241 4.241 8.728
angles (deg): 75.94 75.94 90.00
Sites, in units of the cell vectors:
Au 0.750 0.250 0.500
Au 0.250 0.750 0.500
Bi 0.000 0.000 0.000
La 0.388 0.388 0.225
La 0.612 0.612 0.775

Energy above the lowest structure with this stoichiometry: 180 meV/atom
E: -4.74 eV per atom
Formation energy: -0.686 eV per atom